[1]
Computed, not measured: a geometry-optimized PaMnSi2Pd structure at the GGA-PBE level of DFT.

Cell: 4.042 4.042 5.712 Å, 110.72 110.72 90.00°
Atoms (fractional coordinates):
Pa (0.000, 0.000, 0.000)
Mn (0.750, 0.250, 0.500)
Si (0.621, 0.621, 0.243)
Si (0.379, 0.379, 0.757)
Pd (0.250, 0.750, 0.500)

[2]
Computed, not measured: a geometry-optimized PaMnSnPd structure at the GGA-PBE level of DFT.

Results
The formation energy comes out at -0.218 eV/atom.

Cell: 4.798 4.798 4.798 Å, 60.00 60.00 60.00°
Each line ends with the local moment (μB).
Atoms (fractional coordinates):
Mn (0.750, 0.750, 0.750)  2.86
Pa (0.000, 0.000, 0.000)  -0.43
Sn (0.500, 0.500, 0.500)  -0.02
Pd (0.250, 0.250, 0.250)  0.14

[3]
Computed, not measured: a geometry-optimized PaMnZnPd structure at the GGA-PBE level of DFT.

Results
The formation energy comes out at -0.096 eV/atom.

Cell: 4.648 4.648 4.648 Å, 60.00 60.00 60.00°
Each line ends with the local moment (μB).
Atoms (fractional coordinates):
Mn (0.750, 0.750, 0.750)  2.49
Zn (0.000, 0.000, 0.000)  -0.03
Pa (0.500, 0.500, 0.500)  -0.46
Pd (0.250, 0.250, 0.250)  0.10

[4]
Computed, not measured: a geometry-optimized PmPaMn structure at the GGA-PBE level of DFT.

Results
The formation energy comes out at 0.114 eV/atom. Its relative energy among the computed polymorphs is 0.0 meV/atom.

Cell: 3.387 3.387 6.254 Å, 105.71 105.71 90.00°
Atoms (fractional coordinates):
Pa (0.295, 0.295, 0.590)
Mn (0.702, 0.702, 0.404)
Pm (0.003, 0.003, 0.006)

[5]
Computed, not measured: a geometry-optimized PmPaMn structure at the GGA-PBE level of DFT.

Results
The formation energy comes out at 0.266 eV/atom. Its relative energy among the computed polymorphs is 152.5 meV/atom.

Cell: 3.523 4.353 11.515 Å, 111.52 90.00 113.87°
Atoms (fractional coordinates):
Pm (0.934, 0.867, 0.131)
Pm (0.066, 0.133, 0.869)
Pa (0.655, 0.310, 0.645)
Pa (0.345, 0.690, 0.355)
Mn (0.342, 0.683, 0.600)
Mn (0.658, 0.317, 0.400)

[6]
Computed, not measured: a geometry-optimized PmPaMn4 structure at the GGA-PBE level of DFT.

Results
The formation energy comes out at 0.114 eV/atom.

Cell: 5.170 5.170 5.170 Å, 60.00 60.00 60.00°
Each line ends with the local moment (μB).
Atoms (fractional coordinates):
Pa (0.000, 0.000, 0.000)  -0.68
Mn (0.626, 0.626, 0.121)  1.90
Mn (0.626, 0.121, 0.626)  1.90
Mn (0.626, 0.626, 0.626)  1.90
Mn (0.121, 0.626, 0.626)  1.90
Pm (0.250, 0.250, 0.250)  -0.27

no.,DFT total energy (eV/atom)
1,-7.563
2,-7.183
3,-6.379
4,-7.692
5,-7.539
6,-8.374